Below is an optimized crystal structure of K2AcHf3O8, with properties calculated at the PBE-GGA level.

Values from the calculation:
- DOS at the Fermi energy (states/eV per cell) = 3.4
- V (Å³/cell) = 238.2
- M_tot (μB/f.u.) = 0.0
- SG = R3m, No. 160
- E_form (uncorrected) (eV/f.u.) = -40.63

Unit cell a=6.602 b=6.602 c=7.371 alpha=63.40 beta=63.40 gamma=60.00
Fractional positions:
K: 0.129 0.129 0.612
K: 0.497 0.497 0.508
Ac: 0.885 0.885 0.346
Hf: 0.498 0.007 0.997
Hf: 0.007 0.498 0.997
Hf: 0.498 0.498 0.997
O: 0.274 0.274 0.179
O: 0.725 0.725 0.826
O: 0.239 0.239 0.842
O: 0.681 0.239 0.842
O: 0.239 0.681 0.842
O: 0.758 0.306 0.178
O: 0.306 0.758 0.178
O: 0.758 0.758 0.178